1.
Computed, not measured: a geometry-optimized La2Ni2O5 structure at the GGA+U level of DFT.

Cell: 5.600 5.600 7.560 Å, 94.30 94.30 90.71°
Element x y z (fractional)
La 0.017 0.477 0.249
La 0.477 0.017 0.749
La 0.523 0.983 0.251
La 0.983 0.523 0.751
Ni 0.000 0.000 0.000
Ni 0.000 0.000 0.500
Ni 0.500 0.500 0.000
Ni 0.500 0.500 0.500
O 0.185 0.272 0.960
O 0.194 0.731 0.545
O 0.269 0.806 0.955
O 0.272 0.185 0.460
O 0.439 0.561 0.250
O 0.561 0.439 0.750
O 0.728 0.815 0.540
O 0.731 0.194 0.045
O 0.806 0.269 0.455
O 0.815 0.728 0.040

## Properties
Distance to the lowest polymorph of the same formula in meV/atom: 39
ρ in Mg/m³: 6.7
Total magnetization in μB per formula unit: 2.000
Density of states at the Fermi level in states/eV/atom: 0.000
Space-group type: No. 15
DFT total energy in eV per atom: -6.6904

2.
Computed, not measured: a geometry-optimized CaMn2V3O8 structure at the GGA+U level of DFT.

Cell: 6.276 6.276 6.276 Å, 59.13 59.13 59.13°
Element x y z (fractional)
Ca 0.000 0.000 0.000
Mn 0.249 0.249 0.249
Mn 0.626 0.626 0.626
V 0.124 0.626 0.626
V 0.626 0.124 0.626
V 0.626 0.626 0.124
O 0.384 0.384 0.837
O 0.384 0.837 0.384
O 0.387 0.387 0.387
O 0.428 0.864 0.864
O 0.837 0.384 0.384
O 0.858 0.858 0.858
O 0.864 0.428 0.864
O 0.864 0.864 0.428

## Properties
ρ in Mg/m³: 4.2
Total magnetization in μB per formula unit: 15.000
Density of states at the Fermi level in states/eV/atom: 0.329
Space-group type: No. 160
DFT total energy in eV per atom: -7.7107

Which of these has the highest DFT total energy?
La2Ni2O5